No. 1
Material: HoAgGeAu
Method: DFT, PBE
State: relaxed

The calculated formation energy comes out at -0.458 eV per atom.

The structure belongs to space group F-43m (No. 216); the cell edges are 6.8488, 6.8488 and 6.8488 Å and the angles 90.00°, 90.00° and 90.00°. The asymmetric unit holds Ho at (0.0000, 0.0000, 0.0000), Ag at (0.0000, 0.0000, 0.5000), Ge at (0.2500, 0.2500, 0.2500) and Au at (0.2500, 0.2500, 0.7500).

***

No. 2
Material: Mg3PtW
Method: DFT, PBE
State: relaxed

The calculated formation energy comes out at 1.585 eV per atom.

The structure belongs to space group Pm-3m (No. 221); the cell edges are 5.1023, 5.1023 and 5.1023 Å and the angles 90.00°, 90.00° and 90.00°. The asymmetric unit holds Mg at (0.0000, 0.0000, 0.5000), Pt at (0.5000, 0.5000, 0.5000) and W at (0.0000, 0.0000, 0.0000).

***

No. 3
Material: Mg3Ga4Ni8
Method: DFT, PBE
State: relaxed

The calculated formation energy comes out at -0.325 eV per atom.

The structure belongs to space group Fm-3m (No. 225); the cell edges are 11.7311, 11.7311 and 11.7311 Å and the angles 90.00°, 90.00° and 90.00°. The asymmetric unit holds Mg at (0.0000, 0.0000, 0.2263), Ga at (0.0000, 0.0000, 0.0000), Ga at (0.0000, 0.0000, 0.5000), Ga at (0.0000, 0.2500, 0.2500), Ni at (0.1198, 0.1198, 0.3802) and Ni at (0.1727, 0.1727, 0.1727).

***

No. 4
Material: Tb2SmHg3
Method: DFT, PBE
State: relaxed

The calculated formation energy comes out at -0.476 eV per atom.

The structure belongs to space group Cmmm (No. 65); the cell edges are 5.2908, 15.8961 and 7.5635 Å and the angles 90.00°, 90.00° and 90.00°. The asymmetric unit holds Tb at (0.0000, 0.0000, 0.0000), Tb at (0.0000, 0.0000, 0.5000), Tb at (0.0000, 0.3322, 0.0000), Sm at (0.0000, 0.3336, 0.5000), Hg at (0.0000, 0.1648, 0.2432) and Hg at (0.0000, 0.5000, 0.2440).

***

No. 5
Material: Li2CoSi
Method: DFT, PBE
State: relaxed

The value obtained for the uncorrected formation energy is 92 meV per atom.

The structure belongs to space group P4/mmm (No. 123); the cell edges are 3.2954, 3.2954 and 4.6789 Å and the angles 90.00°, 90.00° and 90.00°. The asymmetric unit holds Li at (0.0000, 0.0000, 0.2386), Co at (0.5000, 0.5000, 0.0000) and Si at (0.5000, 0.5000, 0.5000).

***

No. 6
Material: SmY3Pd
Method: DFT, PBE
State: relaxed

The calculated formation energy comes out at -0.257 eV per atom.

The structure belongs to space group C2/m (No. 12); the cell edges are 11.9673, 8.6701 and 8.1350 Å and the angles 90.00°, 132.79° and 90.00°. The asymmetric unit holds Sm at (0.0573, 0.0000, 0.2721), Y at (0.0522, 0.5000, 0.3340), Y at (0.2429, 0.1966, 0.7783) and Pd at (0.2505, 0.0000, 0.1193).

***

> What is the formula in the first record?

HoAgGeAu